(1)
K4As2PdPt: relaxed, PBE.

Lattice parameters (Å, degrees): 6.3244 6.3244 5.8727 90.30 90.30 104.89
With the nearest neighbours (Å) after each atom.
Element x y z (fractional)
As (0.2453, 0.2453, 0.2539)  1 Pt 2.43, 1 Pd 2.48
As (0.7547, 0.7547, 0.7461)  1 Pt 2.43, 1 Pd 2.48
K (0.6741, 0.0194, 0.2511)  4 As 3.37-3.53, 4 K 3.46-3.74, 1 Pd 3.50, 2 Pt 3.51-3.78
K (0.0194, 0.6741, 0.2511)  4 As 3.37-3.53, 4 K 3.46-3.74, 1 Pd 3.50, 2 Pt 3.51-3.78
K (0.9806, 0.3259, 0.7489)  4 As 3.37-3.53, 4 K 3.46-3.74, 1 Pd 3.50, 2 Pt 3.51-3.78
K (0.3259, 0.9806, 0.7489)  4 As 3.37-3.53, 4 K 3.46-3.74, 1 Pd 3.50, 2 Pt 3.51-3.78
Pd (0.5000, 0.5000, 0.0000)  2 As 2.48
Pt (0.5000, 0.5000, 0.5000)  2 As 2.43

## Properties
space group	C2/m, No. 12
magnetization	1.0	μB per formula unit
electronic total energy	-3.554	eV per atom

---

(2)
LiYBiIr: relaxed, PBE.

Lattice parameters (Å, degrees): 4.8261 4.8261 4.8261 60.00 60.00 60.00
With the nearest neighbours (Å) after each atom.
Element x y z (fractional)
Bi (0.2500, 0.2500, 0.2500)  4 Ir 2.96, 4 Y 2.96
Ir (0.0000, 0.0000, 0.0000)  4 Li 2.96, 4 Bi 2.96
Li (0.7500, 0.7500, 0.7500)  4 Y 2.96, 4 Ir 2.96
Y (0.5000, 0.5000, 0.5000)  4 Li 2.96, 4 Bi 2.96

## Properties
space group	F-43m, No. 216
excess energy over the best structure of this formula in the dataset	306	meV/atom
magnetization	0.0	μB per formula unit

---

(3)
CsTmSiSe3: relaxed, PBE.

Lattice parameters (Å, degrees): 8.4703 8.4703 11.6674 90.00 90.00 152.67
With the nearest neighbours (Å) after each atom.
Element x y z (fractional)
Cs (0.7217, 0.2783, 0.2500)  2 Se 3.60, 2 Si 3.64, 2 Cs 4.00
Cs (0.2783, 0.7217, 0.7500)  2 Se 3.60, 2 Si 3.64, 2 Cs 4.00
Se (0.3824, 0.6176, 0.0215)  1 Si 2.69, 2 Tm 2.80
Se (0.0038, 0.9962, 0.2500)  2 Si 2.57
Se (0.3824, 0.6176, 0.4785)  1 Si 2.69, 2 Tm 2.80
Se (0.6176, 0.3824, 0.5215)  1 Si 2.69, 2 Tm 2.80
Se (0.9962, 0.0038, 0.7500)  2 Si 2.57
Se (0.6176, 0.3824, 0.9785)  1 Si 2.69, 2 Tm 2.80
Si (0.4060, 0.5940, 0.2500)  4 Se 2.57-2.69
Si (0.5940, 0.4060, 0.7500)  4 Se 2.57-2.69
Tm (0.0000, 0.0000, 0.0000)  6 Se 2.80-2.92
Tm (0.0000, 0.0000, 0.5000)  6 Se 2.80-2.92

## Properties
space group	Cmcm, No. 63
magnetization	0.0	μB per formula unit
electronic total energy	-4.584	eV per atom

---

(4)
TmPbAuSe3: relaxed, PBE.

Lattice parameters (Å, degrees): 7.2332 7.2332 10.5405 90.00 90.00 147.53
With the nearest neighbours (Å) after each atom.
Element x y z (fractional)
Au (0.5382, 0.4618, 0.2500)  4 Se 2.60-2.69
Au (0.4618, 0.5382, 0.7500)  4 Se 2.60-2.69
Pb (0.2339, 0.7661, 0.2500)  8 Se 3.18-3.55, 2 Au 3.39
Pb (0.7661, 0.2339, 0.7500)  8 Se 3.18-3.55, 2 Au 3.39
Se (0.6434, 0.3566, 0.0456)  1 Au 2.60, 2 Tm 2.88
Se (0.9105, 0.0895, 0.2500)  2 Au 2.69, 2 Tm 2.91
Se (0.6434, 0.3566, 0.4544)  1 Au 2.60, 2 Tm 2.88
Se (0.3566, 0.6434, 0.5456)  1 Au 2.60, 2 Tm 2.88
Se (0.0895, 0.9105, 0.7500)  2 Au 2.69, 2 Tm 2.91
Se (0.3566, 0.6434, 0.9544)  1 Au 2.60, 2 Tm 2.88
Tm (0.0000, 0.0000, 0.0000)  6 Se 2.88-2.91
Tm (0.0000, 0.0000, 0.5000)  6 Se 2.88-2.91

## Properties
space group	Cmcm, No. 63
excess energy over the best structure of this formula in the dataset	41	meV/atom
magnetization	0.0	μB per formula unit

---

(5)
LiCo: relaxed, PBE.

Lattice parameters (Å, degrees): 4.1172 2.3636 4.7902 90.00 90.00 90.00
With the nearest neighbours (Å) after each atom.
Element x y z (fractional)
Co (0.2500, 0.0000, 0.1106)  4 Co 2.32-2.36, 2 Li 2.58
Co (0.7500, 0.0000, 0.8894)  4 Co 2.32-2.36, 2 Li 2.58
Li (0.7500, 0.5000, 0.3687)  4 Li 2.36-2.41, 2 Co 2.58
Li (0.2500, 0.5000, 0.6313)  4 Li 2.36-2.41, 2 Co 2.58

## Properties
space group	Pmma, No. 51
magnetization	1.5	μB per formula unit
electronic total energy	-4.310	eV per atom

---

(6)
LiNiAgSe2S: relaxed, PBE.

Lattice parameters (Å, degrees): 6.0896 6.0896 10.1962 90.00 90.00 144.46
With the nearest neighbours (Å) after each atom.
Element x y z (fractional)
Ag (0.1157, 0.8843, 0.2500)  2 Se 2.52, 2 S 2.68
Ag (0.8843, 0.1157, 0.7500)  2 Se 2.52, 2 S 2.68
Li (0.8137, 0.1863, 0.2500)  2 S 2.44, 2 Se 2.66
Li (0.1863, 0.8137, 0.7500)  2 S 2.44, 2 Se 2.66
Ni (0.5000, 0.5000, 0.0000)  4 Se 2.41, 2 S 2.61
Ni (0.5000, 0.5000, 0.5000)  4 Se 2.41, 2 S 2.61
S (0.4498, 0.5502, 0.2500)  2 Li 2.44, 2 Ni 2.61, 2 Ag 2.68
S (0.5502, 0.4498, 0.7500)  2 Li 2.44, 2 Ni 2.61, 2 Ag 2.68
Se (0.1320, 0.8680, 0.0034)  2 Ni 2.41, 1 Ag 2.52, 1 Li 2.66
Se (0.1320, 0.8680, 0.4966)  2 Ni 2.41, 1 Ag 2.52, 1 Li 2.66
Se (0.8680, 0.1320, 0.5034)  2 Ni 2.41, 1 Ag 2.52, 1 Li 2.66
Se (0.8680, 0.1320, 0.9966)  2 Ni 2.41, 1 Ag 2.52, 1 Li 2.66

## Properties
space group	Cmcm, No. 63
magnetization	0.0	μB per formula unit
electronic total energy	-3.828	eV per atom